## PrGdSi (GGA-PBE)

Data for a geometry-optimized PrGdSi structure.

Computed properties:
ΔE to the lowest computed polymorph   0 meV per atom
Raw total energy   -5.39 eV per atom
Crystal system   cubic

Cell lengths 7.050, 7.050, 7.050 Å; angles 90.00, 90.00, 90.00 degrees
Space group F-43m (No. 216)
One atom of each set of equivalent atoms:
1 Pr 0.000 0.000 0.000
2 Gd 0.000 0.000 0.500
3 Si 0.250 0.250 0.750